The following is a DFT calculation (PBE-GGA) of a relaxed Pr2Ge3Pt9 crystal.

The formation enthalpy at 0 K comes out at -0.74 eV/atom. For the final energy, the calculation gives -352.4 eV for the cell shown. Its density of states at the Fermi level is 26.17 states/eV/cell.

It has space group C2/c (No. 15), with a = 13.706 Å, b = 7.910 Å, c = 10.307 Å, α = 90.00°, β = 117.25° and γ = 90.00°. Symmetry generates all atoms from Pr at (0.171, 0.085, 0.250), Ge at (0.090, 0.226, 0.497), Ge at (0.250, 0.250, 0.000), Pt at (0.000, 0.368, 0.250), Pt at (0.061, 0.083, 0.920), Pt at (0.102, 0.314, 0.737), Pt at (0.104, 0.410, 0.063) and Pt at (0.221, 0.420, 0.422).

***

The following is a DFT calculation (PBE-GGA) of a relaxed DyMn2Co9 crystal.

The formation enthalpy at 0 K comes out at -0.02 eV/atom. For the final energy, the calculation gives -261.4 eV for the cell shown. Its density of states at the Fermi level is 40.98 states/eV/cell.

It has space group R-3m (No. 166, hexagonal axes), with a = 4.8222 Å, b = 4.8222 Å, c = 23.2612 Å, α = 90.00°, β = 90.00° and γ = 120.00°. Symmetry generates all atoms from Dy at (0.0000, 0.0000, 0.0000), Mn at (0.0000, 0.0000, 0.1447), Co at (0.0000, 0.0000, 0.3360), Co at (0.0000, 0.0000, 0.5000) and Co at (0.0089, 0.5045, 0.9133).

***

The following is a DFT calculation (PBE-GGA) of a relaxed K2BaC crystal.

The formation enthalpy at 0 K comes out at 1.31 eV/atom. For the final energy, the calculation gives -32.4 eV for the cell shown. Its density of states at the Fermi level is 17.57 states/eV/cell.

It has space group I-42d (No. 122), with a = 8.837 Å, b = 8.837 Å, c = 12.525 Å, α = 90.00°, β = 90.00° and γ = 90.00°. Symmetry generates all atoms from K at (0.003, 0.750, 0.125), Ba at (0.000, 0.000, 0.500) and C at (0.000, 0.000, 0.000).

***

The following is a DFT calculation (PBE-GGA) of a relaxed RbSeCl3 crystal.

For the final energy, the calculation gives -9.6 eV for the cell shown. Its density of states at the Fermi level is 19.34 states/eV/cell. The formation energy without anion corrections comes out at 0.085 eV per atom.

It has space group Pm-3m (No. 221), with a = 6.198 Å, b = 6.198 Å, c = 6.198 Å, α = 90.00°, β = 90.00° and γ = 90.00°. Symmetry generates all atoms from Rb at (0.000, 0.000, 0.000), Se at (0.500, 0.500, 0.500) and Cl at (0.000, 0.000, 0.500).